The following is a PBE-GGA calculation of an optimized crystal structure of La2Nd3Er2, from the Alexandria database.

Values from the calculation:
* DOS at the Fermi energy: 1.661 states/eV/atom
* energy above the lowest structure with this stoichiometry: 10.2 kJ per mole of atoms
* space group: C2/m, No. 12
* DFT formation energy: 119 meV per atom

a = 17.937 Å, b = 3.566 Å, c = 8.699 Å
α = 90.00°, β = 119.01°, γ = 90.00°
Element x y z (fractional)
La1 0.064 0.000 0.215
La2 0.436 0.500 0.785
La3 0.564 0.500 0.215
La4 0.936 0.000 0.785
Nd1 0.000 0.500 0.500
Nd2 0.213 0.500 0.632
Nd3 0.287 0.000 0.368
Nd4 0.500 0.000 0.500
Nd5 0.713 0.000 0.632
Nd6 0.787 0.500 0.368
Er1 0.151 0.500 0.963
Er2 0.349 0.000 0.037
Er3 0.651 0.000 0.963
Er4 0.849 0.500 0.037